{
  "formula": "Sr4MgIn",
  "functional": "PBE",
  "state": "relaxed",
  "cell": [[0.000, 5.139, 5.139], [5.139, 0.000, 5.139], [5.139, 5.139, 0.000]],
  "species": ["Sr", "Sr", "Sr", "Sr", "Mg", "In"],
  "frac_coords": [[0.125, 0.125, 0.125], [0.125, 0.125, 0.626], [0.125, 0.626, 0.125], [0.626, 0.125, 0.125], [0.500, 0.500, 0.500], [0.750, 0.750, 0.750]],
  "space_group": "F-43m, No. 216",
  "e_form_ev_per_atom": 0.34,
  "e_above_lowest_polymorph_mev_per_atom": 515,
  "final_energy_ev_per_atom": -1.4989,
  "n_ef_per_ev_fu": 9.0
}